LiCa4Hg2: optimized geometry, GGA-PBE.

Values from the calculation:
Polymorph energy (0 for the lowest one) = 0.41 eV/f.u.
SG = R-3m, No. 166
E_form = -24.19 kJ per mole of atoms
Electronic total energy = -0.0645 Ha/atom

Lattice parameters (Å, degrees): 5.301 5.301 9.856 74.40 74.40 60.00
Positions (direct):
Hg1 0.408 0.408 0.777
Hg2 0.592 0.592 0.223
Ca1 0.120 0.120 0.640
Ca2 0.292 0.292 0.123
Ca3 0.880 0.880 0.360
Ca4 0.708 0.708 0.877
Li1 0.500 0.500 0.500